Record 1
DFT (PBE) results for crystalline SiTe2Au at its relaxed geometry.

The space group is I-4m2 (No. 119) and the conventional cell measures 4.006, 4.006 and 12.677 Å, with angles of 90.00, 90.00 and 90.00 degrees. Symmetry generates all atoms from Si at (0.000, 0.000, 0.000), Te at (0.000, 0.000, 0.500), Te at (0.000, 0.500, 0.750) and Au at (0.000, 0.500, 0.250).

The value obtained for the spin magnetization is 0.000 μB/f.u. The formation energy from raw total energies comes out at 38 kJ per mole of atoms.

Record 2
DFT (PBE) results for crystalline K2YAgF6 at its relaxed geometry.

The space group is P2_1/c (No. 14) and the conventional cell measures 6.333, 6.554 and 10.786 Å, with angles of 90.00, 124.98 and 90.00 degrees. Symmetry generates all atoms from K at (0.231, 0.051, 0.247), Y at (0.500, 0.000, 0.000), Ag at (0.000, 0.000, 0.500), F at (0.173, 0.184, 0.954), F at (0.259, 0.727, 0.937) and F at (0.369, 0.048, 0.764).

The value obtained for the spin magnetization is 0.115 μB/f.u. The relative energy among the computed polymorphs is 0 meV/atom. The formation energy from raw total energies comes out at -286 kJ per mole of atoms.

Record 3
DFT (PBE) results for crystalline CaHo2Al9 at its relaxed geometry.

The space group is R-3m (No. 166, hexagonal axes) and the conventional cell measures 5.6009, 5.6009 and 26.3179 Å, with angles of 90.00, 90.00 and 120.00 degrees. Symmetry generates all atoms from Ca at (0.0000, 0.0000, 0.0000), Ho at (0.0000, 0.0000, 0.1423), Al at (0.0000, 0.0000, 0.3354), Al at (0.0000, 0.0000, 0.5000) and Al at (0.0078, 0.5039, 0.9155).

The value obtained for the spin magnetization is 0.000 μB/f.u. The formation energy from the elements is -0.3264 eV per atom.

Record 4
DFT (PBE) results for crystalline Pm3O at its relaxed geometry.

The space group is P-4m2 (No. 115) and the conventional cell measures 3.740, 3.740 and 8.885 Å, with angles of 90.00, 90.00 and 90.00 degrees. Symmetry generates all atoms from Pm at (0.000, 0.000, 0.000), Pm at (0.000, 0.500, 0.649) and O at (0.500, 0.500, 0.500).

The value obtained for the spin magnetization is 0.901 μB/f.u. The relative energy among the computed polymorphs is 0 meV/atom. The formation energy from raw total energies comes out at -113 kJ per mole of atoms.

Record 5
DFT (PBE) results for crystalline NaPmIrO4 at its relaxed geometry.

The space group is Imma (No. 74) and the conventional cell measures 6.545, 7.166 and 9.004 Å, with angles of 90.00, 90.00 and 90.00 degrees. Symmetry generates all atoms from Na at (0.000, 0.250, 0.114), Pm at (0.000, 0.000, 0.500), Ir at (0.250, 0.250, 0.750), O at (0.000, 0.072, 0.758) and O at (0.224, 0.250, 0.522).

The value obtained for the spin magnetization is 0.642 μB/f.u. The formation energy from raw total energies comes out at -174 kJ per mole of atoms.

Record 6
DFT (PBE) results for crystalline LiFeIr2 at its relaxed geometry.

The space group is C2/m (No. 12) and the conventional cell measures 8.587, 2.698 and 4.723 Å, with angles of 90.00, 99.74 and 90.00 degrees. Symmetry generates all atoms from Li at (0.000, 0.000, 0.000), Fe at (0.000, 0.500, 0.500) and Ir at (0.244, 0.000, 0.754).

The value obtained for the spin magnetization is 3.569 μB/f.u. The formation energy from the elements is -0.0831 eV per atom.

Record 7
DFT (PBE) results for crystalline Pr2BeSnAu6 at its relaxed geometry.

The space group is P-1 (No. 2) and the conventional cell measures 6.240, 6.377 and 7.418 Å, with angles of 65.22, 90.00 and 60.79 degrees. Symmetry generates all atoms from Pr at (0.238, 0.023, 0.302), Be at (0.500, 0.500, 0.000), Sn at (0.000, 0.500, 0.500), Au at (0.164, 0.649, 0.139), Au at (0.278, 0.944, 0.751) and Au at (0.314, 0.351, 0.861).

The value obtained for the spin magnetization is 0.000 μB/f.u. The formation energy from the elements is -0.4434 eV per atom.

Record 8
DFT (PBE) results for crystalline TlRu2Se at its relaxed geometry.

The space group is I-4m2 (No. 119) and the conventional cell measures 3.980, 3.980 and 8.828 Å, with angles of 90.00, 90.00 and 90.00 degrees. Symmetry generates all atoms from Tl at (0.000, 0.000, 0.000), Ru at (0.000, 0.000, 0.500), Ru at (0.000, 0.500, 0.750) and Se at (0.000, 0.500, 0.250).

The value obtained for the spin magnetization is 1.199 μB/f.u. The relative energy among the computed polymorphs is 457 meV/atom. The formation energy from raw total energies comes out at 72 kJ per mole of atoms.

Number 1: total energy -26.856 eV/cell, ρ 7.84 g cm⁻³. Number 2: total energy -104.702 eV/cell, ρ 3.52 g cm⁻³. Number 3: total energy -146.272 eV/cell, ρ 4.27 g cm⁻³. Number 4: total energy -23.895 eV/cell, ρ 6.03 g cm⁻³. Number 5: total energy -189.607 eV/cell, ρ 6.67 g cm⁻³. Number 6: total energy -56.862 eV/cell, ρ 13.77 g cm⁻³. Number 7: total energy -41.386 eV/cell, ρ 11.69 g cm⁻³. Number 8: total energy -42.876 eV/cell, ρ 11.53 g cm⁻³.